Entry 1:
DFT (PBE) results for a geometry-optimized Na3As structure.

Values from the calculation:
E above lowest polymorph, eV/atom: 0.208

a b c (Å): 4.6162 4.6162 4.6154
angles (deg): 90.00 90.00 90.00
Last column: nearest neighbours and their distance in Å.
Fractional positions:
Na (0.0000, 0.0000, 0.0000)  8 Na 3.26-3.27, 4 As 3.26
Na (0.0000, 0.5000, 0.4996)  4 As 3.26-3.27, 8 Na 3.26-3.27
Na (0.5000, 0.0000, 0.5004)  4 As 3.26-3.27, 8 Na 3.26-3.27
As (0.5000, 0.5000, 0.0000)  12 Na 3.26-3.27

Entry 2:
DFT (PBE) results for a geometry-optimized NaNb2As structure.

a b c (Å): 10.4540 10.4540 10.4540
angles (deg): 158.18 158.18 31.04
Last column: nearest neighbours and their distance in Å.
Fractional positions:
Na (0.0000, 0.0000, 0.0000)  4 As 2.80, 4 Nb 2.92
Na (0.7500, 0.2500, 0.5000)  4 As 2.80, 4 Nb 2.92
Nb (0.1513, 0.6250, 0.0263)  4 Nb 2.65-2.95, 2 As 2.85, 2 Na 2.92
Nb (0.3750, 0.4013, 0.5263)  4 Nb 2.65-2.95, 2 As 2.85, 2 Na 2.92
Nb (0.5987, 0.1250, 0.9737)  4 Nb 2.65-2.95, 2 As 2.85, 2 Na 2.92
Nb (0.8750, 0.8487, 0.4737)  4 Nb 2.65-2.95, 2 As 2.85, 2 Na 2.92
As (0.2500, 0.7500, 0.5000)  4 Na 2.80, 4 Nb 2.85
As (0.5000, 0.5000, 0.0000)  4 Na 2.80, 4 Nb 2.85

Entry 3:
DFT (PBE) results for a geometry-optimized NaNbAs3 structure.

Values from the calculation:
E above lowest polymorph, eV/atom: 0.000

a b c (Å): 5.0507 5.0507 5.0507
angles (deg): 90.00 90.00 90.00
Last column: nearest neighbours and their distance in Å.
Fractional positions:
Na (0.0000, 0.0000, 0.0000)  12 As 3.57
Nb (0.5000, 0.5000, 0.5000)  6 As 2.53
As (0.0000, 0.5000, 0.5000)  2 Nb 2.53
As (0.5000, 0.0000, 0.5000)  2 Nb 2.53
As (0.5000, 0.5000, 0.0000)  2 Nb 2.53

Asked for calculated total energy across the records above, the calculation gives -2.363; -5.974; -5.127 eV per atom in order.
Asked for ΔE_f across the records above, the calculation gives -0.85; 2.21; -0.30 eV per formula unit in order.
Asked for density of states at the Fermi level across the records above, the calculation gives 2.11; 7.37; 2.26 states/eV per cell in order.